Record 1
{
  "formula": "BC",
  "functional": "PBE-GGA",
  "state": "relaxed",
  "cell": [[2.7214, 0.0000, 0.0000], [0.0000, 4.6809, -0.3139], [0.0000, -0.2840, 7.7732]],
  "species": ["B", "B", "B", "B", "B", "B", "C", "C", "C", "C", "C", "C"],
  "frac_coords": [[0.5000, 0.9979, 0.3483], [0.5000, 0.4441, 0.8960], [0.0000, 0.6092, 0.6755], [0.0000, 0.1727, 0.5745], [0.0000, 0.4976, 0.3589], [0.0000, 0.9446, 0.8970], [0.5000, 0.6724, 0.3827], [0.5000, 0.1049, 0.8686], [0.0000, 0.1646, 0.3657], [0.0000, 0.6071, 0.8827], [0.5000, 0.0668, 0.6642], [0.5000, 0.7178, 0.5860]],
  "delta_e_f_ev_per_atom": 0.271
}


Record 2
{
  "formula": "BC",
  "functional": "PBE-GGA",
  "state": "relaxed",
  "cell": [[4.1294, 0.1240, -1.7623], [3.3212, 2.4570, -1.7623], [0.6358, 0.2202, 6.4424]],
  "species": ["B", "B", "B", "B", "B", "C", "C", "C", "C", "C"],
  "frac_coords": [[0.0388, 0.0388, 0.0239], [0.1927, 0.1927, 0.8115], [0.4231, 0.4231, 0.8416], [0.5675, 0.5675, 0.6325], [0.7758, 0.7758, 0.4362], [0.2398, 0.2398, 0.0726], [0.3670, 0.3670, 0.5909], [0.5781, 0.5781, 0.3840], [0.8131, 0.8131, 0.1964], [0.0040, 0.0040, 0.2603]],
  "delta_e_f_ev_per_atom": 0.342
}


Record 3
{
  "formula": "BC",
  "functional": "PBE-GGA",
  "state": "relaxed",
  "cell": [[-2.1668, 1.3154, -0.5410], [-2.5627, -3.2388, 2.3893], [0.9742, 3.8407, 5.4365]],
  "species": ["B", "B", "B", "B", "B", "B", "C", "C", "C", "C", "C", "C"],
  "frac_coords": [[0.5000, 0.8682, 0.3755], [0.5000, 0.4241, 0.2250], [0.0000, 0.7289, 0.7056], [0.0000, 0.3149, 0.5673], [0.0000, 0.0170, 0.2361], [0.0000, 0.9837, 0.9773], [0.5000, 0.4779, 0.9898], [0.5000, 0.1744, 0.8908], [0.0000, 0.3643, 0.3393], [0.0000, 0.6221, 0.9196], [0.5000, 0.1714, 0.6710], [0.5000, 0.8530, 0.6025]],
  "delta_e_f_ev_per_atom": 0.407
}


Record 4
{
  "formula": "B7C5",
  "functional": "PBE-GGA",
  "state": "relaxed",
  "cell": [[2.6321, 0.0000, 0.0000], [-1.3160, 2.2794, 0.0000], [-0.0001, 0.0001, 15.8349]],
  "species": ["B", "B", "B", "B", "B", "B", "B", "C", "C", "C", "C", "C"],
  "frac_coords": [[0.6667, 0.3333, 0.8444], [0.0000, 0.0000, 0.9101], [0.3333, 0.6667, 0.6742], [0.6667, 0.3333, 0.7391], [0.0000, 0.0000, 0.2974], [0.3333, 0.6667, 0.5636], [0.6667, 0.3333, 0.1811], [0.6667, 0.3333, 0.2866], [0.0000, 0.0000, 0.5609], [0.3333, 0.6667, 0.1389], [0.0000, 0.0000, 0.0096], [0.3333, 0.6667, 0.0441]],
  "delta_e_f_ev_per_atom": 0.447
}


Record 5
{
  "formula": "B7C5",
  "functional": "PBE-GGA",
  "state": "relaxed",
  "cell": [[5.9758, 0.0098, -1.4515], [5.3512, 2.6600, -1.4515], [-0.1065, -0.0251, 5.3497]],
  "species": ["B", "B", "B", "B", "B", "B", "B", "C", "C", "C", "C", "C"],
  "frac_coords": [[0.0283, 0.0283, 0.9264], [0.8459, 0.8459, 0.3598], [0.3335, 0.3335, 0.1458], [0.2552, 0.2552, 0.3547], [0.0174, 0.0174, 0.5283], [0.6563, 0.6563, 0.3145], [0.3490, 0.3490, 0.7153], [0.9148, 0.9148, 0.6833], [0.5867, 0.5867, 0.5301], [0.2485, 0.2485, 0.8628], [0.6730, 0.6730, 0.8171], [0.5914, 0.5914, 0.0121]],
  "delta_e_f_ev_per_atom": 0.402
}


Record 6
{
  "formula": "BC",
  "functional": "PBE-GGA",
  "state": "relaxed",
  "cell": [[-4.6119, -0.3385, -0.1181], [-3.8878, -1.0581, 2.2723], [1.6489, 8.2465, 1.9828]],
  "species": ["B", "B", "B", "B", "B", "B", "C", "C", "C", "C", "C", "C"],
  "frac_coords": [[0.6925, 0.6925, 0.3732], [0.4636, 0.4636, 0.2214], [0.1410, 0.1410, 0.2340], [0.9481, 0.9481, 0.9376], [0.5722, 0.5722, 0.7513], [0.3044, 0.3044, 0.6563], [0.5087, 0.5087, 0.4081], [0.9734, 0.9734, 0.1219], [0.4445, 0.4445, 0.8382], [0.1268, 0.1268, 0.6729], [0.9937, 0.9937, 0.5025], [0.8311, 0.8311, 0.5326]],
  "delta_e_f_ev_per_atom": 0.353
}


Record 7
{
  "formula": "B3C",
  "functional": "PBE-GGA",
  "state": "relaxed",
  "cell": [[4.8963, 0.7755, -1.1190], [-3.0050, -4.6711, 0.4398], [-0.5696, -0.5373, -4.2459]],
  "species": ["B", "B", "B", "B", "B", "B", "B", "B", "B", "C", "C", "C"],
  "frac_coords": [[0.2232, 0.7059, 0.7583], [0.9673, 0.6232, 0.1174], [0.3844, 0.9937, 0.1160], [0.4182, 0.3251, 0.9361], [0.1035, 0.2969, 0.7198], [0.8258, 0.3472, 0.4523], [0.7870, 0.3359, 0.8617], [0.5601, 0.6948, 0.7174], [0.9732, 0.9946, 0.1284], [0.4860, 0.9883, 0.4511], [0.6686, 0.6550, 0.0336], [0.8528, 0.0394, 0.4578]],
  "delta_e_f_ev_per_atom": 0.502
}


Record 8
{
  "formula": "B3C",
  "functional": "PBE-GGA",
  "state": "relaxed",
  "cell": [[-0.0593, 2.0300, 1.8728], [-0.5133, -2.6035, 0.7683], [15.5681, -2.2151, 2.8942]],
  "species": ["B", "B", "B", "B", "B", "B", "B", "B", "B", "C", "C", "C"],
  "frac_coords": [[0.6667, 0.3333, 0.8313], [0.0000, 0.0000, 0.8472], [0.3333, 0.6667, 0.6635], [0.6667, 0.3333, 0.7271], [0.6667, 0.3333, 0.2995], [0.0000, 0.0000, 0.3238], [0.0000, 0.0000, 0.5585], [0.6667, 0.3333, 0.1909], [0.0000, 0.0000, 0.0399], [0.3333, 0.6667, 0.5657], [0.3333, 0.6667, 0.1497], [0.3333, 0.6667, 0.0530]],
  "delta_e_f_ev_per_atom": 0.606
}


Listing size of the total moment for the structures above in their given order: 0.000 0.000 0.000 0.000 0.000 0.000 0.000 0.000 μB/f.u..
Listing E_tot for the structures above in their given order: -7.680 -7.608 -7.544 -7.291 -7.336 -7.598 -6.813 -6.708 eV/atom.